First-principles (PBE-GGA) data for an optimized crystal structure of AlIr2Os, as listed in Alexandria via LeMat-Bulk.

Cell: 2.7883 2.7883 7.3412 Å, 90.00 90.00 90.00°
Last column: nearest neighbours and their distance in Å.
Space group P4mm (No. 99)
Unique sites:
Al 0.0000 0.0000 0.0000 (multiplicity 1)  4 Ir 2.60, 4 Os 2.71, 4 Al 2.79
Ir 0.0000 0.0000 0.5024 (multiplicity 1)  4 Os 2.67, 8 Ir 2.79-2.80
Ir 0.5000 0.5000 0.2311 (multiplicity 1)  4 Al 2.60, 8 Ir 2.79-2.80
Os 0.5000 0.5000 0.7468 (multiplicity 1)  4 Ir 2.67, 4 Al 2.71, 4 Os 2.79

total energy: -33.65 eV per cell
total magnetization: 0.00 Bohr magnetons per cell

First-principles (PBE-GGA) data for an optimized crystal structure of AlIrOs2, as listed in Alexandria via LeMat-Bulk.

Cell: 2.7735 4.7386 8.9025 Å, 90.00 90.00 90.00°
Last column: nearest neighbours and their distance in Å.
Space group Cmmm (No. 65)
Unique sites:
Al 0.0000 0.0000 0.0000 (multiplicity 2)  4 Os 2.54, 6 Al 2.75-2.77
Ir 0.0000 0.0000 0.5000 (multiplicity 2)  4 Os 2.71, 6 Ir 2.75-2.77
Os 0.0000 0.5000 0.2389 (multiplicity 4)  2 Al 2.54, 2 Ir 2.71, 6 Os 2.75-2.77

total energy: -67.99 eV per cell
total magnetization: 0.00 Bohr magnetons per cell

First-principles (PBE-GGA) data for an optimized crystal structure of AlIr2Os, as listed in Alexandria via LeMat-Bulk.

Cell: 2.7766 3.7973 5.4360 Å, 90.00 90.00 90.00°
Last column: nearest neighbours and their distance in Å.
Space group Pmmm (No. 47)
Unique sites:
Al 0.0000 0.0000 0.0000 (multiplicity 1)  2 Os 2.72, 8 Ir 2.72, 2 Al 2.78
Ir 0.5000 0.5000 0.2509 (multiplicity 2)  4 Ir 2.71-2.78, 4 Os 2.71, 4 Al 2.72
Os 0.0000 0.0000 0.5000 (multiplicity 1)  8 Ir 2.71, 2 Al 2.72, 2 Os 2.78

total energy: -33.77 eV per cell
total magnetization: 0.00 Bohr magnetons per cell

First-principles (PBE-GGA) data for an optimized crystal structure of AlIrOs3, as listed in Alexandria via LeMat-Bulk.

Cell: 4.3416 4.3416 4.3416 Å, 90.00 90.00 90.00°
Last column: nearest neighbours and their distance in Å.
Space group Pm-3m (No. 221)
Unique sites:
Al 0.0000 0.0000 0.0000 (multiplicity 1)  6 Os 2.17
Ir 0.5000 0.5000 0.5000 (multiplicity 1)  12 Os 3.07
Os 0.0000 0.0000 0.5000 (multiplicity 3)  2 Al 2.17

total magnetization: 0.00 Bohr magnetons per cell
polymorph energy (0 for the lowest one): 0 meV/atom

First-principles (PBE-GGA) data for an optimized crystal structure of AlIr2Os, as listed in Alexandria via LeMat-Bulk.

Cell: 5.5432 7.4687 2.7670 Å, 90.00 90.00 90.00°
Last column: nearest neighbours and their distance in Å.
Space group Cmmm (No. 65)
Unique sites:
Al 0.0000 0.0000 0.0000 (multiplicity 2)  8 Ir 2.71, 2 Al 2.77, 2 Os 2.77
Ir 0.2500 0.2500 0.5000 (multiplicity 4)  4 Al 2.71, 4 Os 2.71, 4 Ir 2.77
Os 0.0000 0.5000 0.0000 (multiplicity 2)  8 Ir 2.71, 2 Os 2.77, 2 Al 2.77

total energy: -67.66 eV per cell
total magnetization: 0.00 Bohr magnetons per cell

First-principles (PBE-GGA) data for an optimized crystal structure of AlIrOs2, as listed in Alexandria via LeMat-Bulk.

Cell: 9.0343 2.7693 4.6484 Å, 90.00 100.28 90.00°
Last column: nearest neighbours and their distance in Å.
Space group C2/m (No. 12)
Unique sites:
Al 0.0000 0.0000 0.0000 (multiplicity 2)  6 Os 2.70-2.73, 4 Ir 2.71, 2 Al 2.77
Ir 0.0000 0.5000 0.5000 (multiplicity 2)  4 Al 2.71, 6 Os 2.72-2.73, 2 Ir 2.77
Os 0.2486 0.0000 0.7515 (multiplicity 4)  6 Os 2.69-2.77, 3 Al 2.70-2.73, 3 Ir 2.72-2.73

total energy: -71.11 eV per cell
total magnetization: 0.00 Bohr magnetons per cell

First-principles (PBE-GGA) data for an optimized crystal structure of AlIr2Os, as listed in Alexandria via LeMat-Bulk.

Cell: 2.8438 4.4860 4.5458 Å, 90.00 90.00 90.00°
Last column: nearest neighbours and their distance in Å.
Space group Pmmm (No. 47)
Unique sites:
Al 0.0000 0.0000 0.0000 (multiplicity 1)  4 Ir 2.66, 4 Os 2.68, 2 Al 2.84
Ir 0.0000 0.5000 0.5000 (multiplicity 1)  4 Os 2.66, 6 Ir 2.68-2.84
Ir 0.5000 0.5000 0.0000 (multiplicity 1)  4 Al 2.66, 6 Ir 2.68-2.84
Os 0.5000 0.0000 0.5000 (multiplicity 1)  4 Ir 2.66, 4 Al 2.68, 2 Os 2.84

total energy: -32.85 eV per cell
total magnetization: 0.00 Bohr magnetons per cell

First-principles (PBE-GGA) data for an optimized crystal structure of AlIr2Os, as listed in Alexandria via LeMat-Bulk.

Cell: 2.7698 4.7649 8.8936 Å, 90.00 90.00 90.00°
Last column: nearest neighbours and their distance in Å.
Space group Cmm2 (No. 35)
Unique sites:
Al 0.0000 0.0000 0.0000 (multiplicity 2)  2 Ir 2.49, 2 Os 2.55, 6 Al 2.76-2.77
Ir 0.0000 0.0000 0.4977 (multiplicity 2)  2 Os 2.67, 8 Ir 2.76-2.77
Ir 0.0000 0.5000 0.7673 (multiplicity 2)  2 Al 2.49, 8 Ir 2.76-2.77
Os 0.0000 0.5000 0.2410 (multiplicity 2)  2 Al 2.55, 2 Ir 2.67, 6 Os 2.76-2.77

total energy: -64.61 eV per cell
total magnetization: 0.00 Bohr magnetons per cell

First-principles (PBE-GGA) data for an optimized crystal structure of AlIrOs2, as listed in Alexandria via LeMat-Bulk.

Cell: 5.3865 7.7783 2.7382 Å, 90.00 90.00 90.00°
Last column: nearest neighbours and their distance in Å.
Space group Cmmm (No. 65)
Unique sites:
Al 0.0000 0.0000 0.0000 (multiplicity 2)  2 Ir 2.69, 8 Os 2.73, 2 Al 2.74
Ir 0.0000 0.5000 0.0000 (multiplicity 2)  2 Al 2.69, 8 Os 2.73, 2 Ir 2.74
Os 0.2500 0.2500 0.5000 (multiplicity 4)  4 Os 2.69-2.74, 4 Al 2.73, 4 Ir 2.73

total energy: -70.31 eV per cell
total magnetization: 0.00 Bohr magnetons per cell

First-principles (PBE-GGA) data for an optimized crystal structure of AlIr2Os, as listed in Alexandria via LeMat-Bulk.

Cell: 3.8625 3.8625 7.6662 Å, 90.00 90.00 90.00°
Last column: nearest neighbours and their distance in Å.
Space group I-4m2 (No. 119)
Unique sites:
Al 0.0000 0.0000 0.0000 (multiplicity 2)  4 Os 2.72, 8 Ir 2.72-2.73
Ir 0.0000 0.0000 0.5000 (multiplicity 2)  4 Ir 2.72, 4 Os 2.72, 4 Al 2.73
Ir 0.0000 0.5000 0.7500 (multiplicity 2)  4 Ir 2.72, 4 Al 2.72, 4 Os 2.73
Os 0.0000 0.5000 0.2500 (multiplicity 2)  4 Al 2.72, 8 Ir 2.72-2.73

total energy: -67.33 eV per cell
total magnetization: 0.00 Bohr magnetons per cell

First-principles (PBE-GGA) data for an optimized crystal structure of AlIr2Os, as listed in Alexandria via LeMat-Bulk.

Cell: 2.7635 2.7635 7.4769 Å, 90.00 90.00 90.00°
Last column: nearest neighbours and their distance in Å.
Space group P4/mmm (No. 123)
Unique sites:
Al 0.0000 0.0000 0.0000 (multiplicity 1)  8 Ir 2.70, 4 Al 2.76
Ir 0.5000 0.5000 0.2483 (multiplicity 2)  4 Al 2.70, 4 Os 2.71, 4 Ir 2.76
Os 0.0000 0.0000 0.5000 (multiplicity 1)  8 Ir 2.71, 4 Os 2.76

total energy: -34.02 eV per cell
total magnetization: 0.00 Bohr magnetons per cell

First-principles (PBE-GGA) data for an optimized crystal structure of Al4IrOs2, as listed in Alexandria via LeMat-Bulk.

Cell: 5.9562 5.9562 6.0071 Å, 90.00 90.00 90.00°
Last column: nearest neighbours and their distance in Å.
Space group I4/mmm (No. 139)
Unique sites:
Al 0.2500 0.2500 0.2500 (multiplicity 8)  4 Os 2.59, 2 Ir 2.59
Ir 0.0000 0.0000 0.0000 (multiplicity 2)  8 Al 2.59
Os 0.0000 0.5000 0.0000 (multiplicity 4)  8 Al 2.59

total energy: -99.96 eV per cell
total magnetization: 0.00 Bohr magnetons per cell